No. 1
Tc3Sb PBE-GGA relaxed; energy above the most stable polymorph in this dataset = 0.0000 eV/atom; ΔE_f (raw) = 196.6 meV per atom; SG = Pnma; crystal system = orthorhombic
1.0
-2.621 -0.496 4.346
4.235 -3.213 2.187
3.892 7.293 3.180
Sb Tc
4 12
direct
0.071 0.585 0.250
0.429 0.085 0.750
0.571 0.915 0.250
0.929 0.415 0.750
0.099 0.128 0.250
0.401 0.628 0.750
0.599 0.372 0.250
0.901 0.872 0.750
0.198 0.845 0.003
0.302 0.345 0.997
0.698 0.655 0.497
0.802 0.155 0.503
0.802 0.155 0.997
0.698 0.655 0.003
0.302 0.345 0.503
0.198 0.845 0.497


No. 2
TcSb3 PBE-GGA relaxed; energy above the most stable polymorph in this dataset = 0.0436 eV/atom; ΔE_f (raw) = 77.8 meV per atom; SG = Cmmm; crystal system = orthorhombic
1.0
3.316 0.000 0.000
0.000 6.209 -0.001
0.000 3.973 4.771
Sb Tc
3 1
direct
0.000 0.060 0.060
0.500 0.750 0.750
0.000 0.440 0.440
0.500 0.250 0.250


No. 3
Tc4Sb5 PBE-GGA relaxed; energy above the most stable polymorph in this dataset = 0.0523 eV/atom; ΔE_f (raw) = 475.5 meV per atom; SG = I4/mmm; crystal system = tetragonal
1.0
-4.383 4.383 2.469
4.383 -4.383 2.469
4.383 4.383 -2.469
Tc Sb
4 5
direct
0.370 0.000 0.370
0.630 0.000 0.630
0.000 0.630 0.630
0.000 0.370 0.370
0.000 0.000 0.000
0.318 0.682 0.000
0.682 0.318 0.000
0.682 0.682 0.364
0.318 0.318 0.636


No. 4
Tc3Sb PBE-GGA relaxed; energy above the most stable polymorph in this dataset = 0.0016 eV/atom; ΔE_f (raw) = 198.2 meV per atom; SG = P4/mmm; crystal system = tetragonal
1.0
-1.098 -1.510 2.465
-2.453 -0.910 -1.650
3.293 -5.466 -1.882
Sb Tc
1 3
direct
0.000 0.000 0.000
0.500 0.500 0.744
0.000 0.000 0.500
0.500 0.500 0.256


No. 5
TcSb2 PBE-GGA relaxed; energy above the most stable polymorph in this dataset = 0.0676 eV/atom; ΔE_f (raw) = 49.9 meV per atom; SG = C2/m; crystal system = monoclinic
1.0
6.203 -0.011 0.111
5.299 3.224 0.111
2.280 0.637 6.896
Sb Tc
4 2
direct
0.338 0.338 0.263
0.670 0.670 0.738
0.607 0.607 0.207
0.940 0.940 0.681
0.001 0.001 0.007
0.277 0.277 0.938


No. 6
Tc3Sb2 PBE-GGA relaxed; energy above the most stable polymorph in this dataset = 0.0000 eV/atom; ΔE_f (raw) = 323.0 meV per atom; SG = R-3m; crystal system = trigonal
1.0
-3.426 0.509 -10.275
-1.534 -1.927 -10.560
-4.452 -2.336 -9.607
Tc Sb
3 2
direct
0.000 0.000 0.000
0.805 0.805 0.805
0.195 0.195 0.195
0.399 0.399 0.399
0.601 0.601 0.601


No. 7
TcSb3 PBE-GGA relaxed; energy above the most stable polymorph in this dataset = 0.2289 eV/atom; ΔE_f (raw) = 263.1 meV per atom; SG = Pmm2; crystal system = orthorhombic
1.0
3.249 0.000 0.000
0.000 3.191 0.000
0.000 0.000 9.604
Sb Tc
3 1
direct
0.000 0.500 0.446
0.500 0.500 0.142
0.500 0.000 0.762
0.000 0.000 0.984


No. 8
Tc3Sb PBE-GGA relaxed; energy above the most stable polymorph in this dataset = 0.2283 eV/atom; ΔE_f (raw) = 424.8 meV per atom; SG = Pm-3m; crystal system = cubic
1.0
4.002 0.000 0.000
0.000 4.002 0.000
0.000 0.000 4.002
Sb Tc
1 3
direct
0.000 0.000 0.000
0.000 0.500 0.500
0.500 0.000 0.500
0.500 0.500 0.000